Compound: NdSm6Tm
Source: the Alexandria database
Functional: PBE
Structure: optimized geometry

a = 6.4962 Å, b = 6.4962 Å, c = 9.7126 Å
α = 87.92°, β = 137.28°, γ = 87.46°
With the nearest neighbours (Å) after each atom.
Atoms (fractional coordinates):
Sm 0.5504 0.5172 0.7056  7 Sm 3.40-3.79, 1 Tm 3.52, 1 Nd 3.76
Sm 0.1528 0.6547 0.8075  9 Sm 3.43-3.79, 1 Tm 3.46, 1 Nd 3.51
Sm 0.8116 0.8448 0.2944  7 Sm 3.40-3.79, 1 Tm 3.52, 1 Nd 3.76
Sm 0.4496 0.4828 0.2944  7 Sm 3.40-3.79, 1 Tm 3.52, 1 Nd 3.76
Sm 0.8472 0.3453 0.1925  9 Sm 3.43-3.79, 1 Tm 3.46, 1 Nd 3.51
Sm 0.1884 0.1552 0.7056  7 Sm 3.40-3.79, 1 Tm 3.52, 1 Nd 3.76
Tm 0.5000 0.0000 0.5000  2 Nd 3.31, 6 Sm 3.46-3.52
Nd 0.0000 0.0000 0.0000  2 Tm 3.31, 2 Sm 3.51

Results
As for the formation energy: 0.146 eV per atom. For the energy above the most stable polymorph in this dataset, the calculation gives 0.126 eV/atom. The calculation puts the volume at 276 Å³/f.u. Its crystal system is monoclinic.